1.
## As3HRh (PBE)

Data for a relaxed structure of As3HRh.

```
As3HRh
1.0
4.802 0.000 0.000
0.000 4.802 0.000
0.000 0.000 4.802
H As Rh
1 3 1
Direct
0.500 0.500 0.500 H
0.000 0.500 0.000 As
0.000 0.000 0.500 As
0.500 0.000 0.000 As
0.000 0.000 0.000 Rh
```

Values from the calculation:
theoretical density = 4.93 Mg/m³
excess energy over the best structure of this formula in the dataset = 450 meV/atom
space group = No. 221

2.
## AsH3Rh (PBE)

Data for a relaxed structure of AsH3Rh.

```
AsH3Rh
1.0
3.602 0.000 0.000
0.000 3.602 0.000
0.000 0.000 3.602
H As Rh
3 1 1
Direct
0.000 0.500 0.000 H
0.000 0.000 0.500 H
0.500 0.000 0.000 H
0.000 0.000 0.000 As
0.500 0.500 0.500 Rh
```

Values from the calculation:
theoretical density = 6.43 Mg/m³
excess energy over the best structure of this formula in the dataset = 528 meV/atom
space group = No. 221

3.
## As2HRh (PBE)

Data for a relaxed structure of As2HRh.

```
As2HRh
1.0
5.146 0.000 0.000
0.000 5.146 0.000
2.573 2.573 4.904
H As Rh
2 4 2
Direct
0.500 0.500 0.000 H
0.250 0.750 0.500 H
0.568 0.125 0.250 As
0.182 0.625 0.250 As
0.375 0.432 0.750 As
0.875 0.818 0.750 As
0.000 0.000 0.000 Rh
0.750 0.250 0.500 Rh
```

Values from the calculation:
theoretical density = 6.49 Mg/m³
excess energy over the best structure of this formula in the dataset = 75 meV/atom
space group = No. 122

4.
## AsHRh4 (PBE)

Data for a relaxed structure of AsHRh4.

```
AsHRh4
1.0
0.275 -5.257 0.040
3.041 -0.114 -4.426
2.965 2.952 5.363
As H Rh
2 2 8
Direct
0.374 0.624 0.249 As
0.626 0.376 0.751 As
0.133 0.883 0.765 H
0.867 0.117 0.235 H
0.965 0.277 0.078 Rh
0.613 0.801 0.078 Rh
0.270 0.617 0.571 Rh
0.730 0.383 0.429 Rh
0.199 0.046 0.429 Rh
0.387 0.199 0.922 Rh
0.801 0.954 0.571 Rh
0.035 0.723 0.922 Rh
```

Values from the calculation:
theoretical density = 10.21 Mg/m³
E = -6.278 eV/atom
space group = No. 15